Entry a
Material: ScPb2Br
Method: DFT, meta-GGA SCAN
State: single point on PBEsol structure

Unit cell a=5.288 b=5.288 c=5.288 alpha=60.00 beta=60.00 gamma=60.00
Atoms (fractional coordinates):
Pb: 0.750 0.750 0.750
Sc: 0.250 0.250 0.250
Pb: 0.000 0.000 0.000
Br: 0.500 0.500 0.500

Total magnetization: 0.000 μB per formula unit
Space-group type: F-43m, No. 216

=====

Entry b
Material: ScPb2Br
Method: DFT, meta-GGA SCAN
State: single point on PBEsol structure

Unit cell a=3.582 b=5.429 c=5.580 alpha=90.00 beta=90.00 gamma=93.05
Each line ends with the local moment (μB).
Atoms (fractional coordinates):
Br: 0.500 0.000 0.500  0.00
Sc: 0.500 0.500 0.500  0.23
Pb: 0.206 0.265 0.000  0.01
Pb: 0.794 0.735 0.000  0.01

Total magnetization: 0.391 μB per formula unit
Space-group type: P2/m, No. 10

=====

Which of them is the least stable? Correct choice: entry a.

=====

Entry a
Material: PbSeBr
Method: DFT, meta-GGA SCAN
State: single point on PBEsol structure

Unit cell a=4.084 b=4.084 c=6.067 alpha=90.00 beta=90.00 gamma=120.00
Atoms (fractional coordinates):
Pb: 0.667 0.333 0.643
Se: 0.333 0.667 0.388
Br: 0.000 0.000 0.969

Total magnetization: 0.000 μB per formula unit
Space-group type: P3m1, No. 156

=====

Entry b
Material: PbSeBr
Method: DFT, meta-GGA SCAN
State: single point on PBEsol structure

Unit cell a=3.984 b=3.984 c=5.940 alpha=109.59 beta=109.59 gamma=90.00
Atoms (fractional coordinates):
Pb: 0.710 0.710 0.419
Br: 0.994 0.994 0.988
Se: 0.296 0.296 0.592

Total magnetization: 0.002 μB per formula unit
Space-group type: I4mm, No. 107

=====

Which of them is the least stable? Correct choice: entry b.